Record 1
DFT (PBE) results for NdYZnCd after structural relaxation.

Lattice parameters (Å, degrees): 7.4590 7.4590 7.4590 90.00 90.00 90.00
Space group F-43m (No. 216)
Asymmetric unit:
Nd1 0.0000 0.0000 0.0000 (multiplicity 4)
Y1 0.0000 0.0000 0.5000 (multiplicity 4)
Zn1 0.2500 0.2500 0.2500 (multiplicity 4)
Cd1 0.2500 0.2500 0.7500 (multiplicity 4)

Computed properties:
ΔH_f (0 K)	-1.25	eV per formula unit
offset from the most stable computed form	0.023	eV per atom
calculated total energy	-3.667	eV/atom

***

Record 2
DFT (PBE) results for EuGdSnPb after structural relaxation.

Lattice parameters (Å, degrees): 7.8304 7.8304 7.8304 90.00 90.00 90.00
Space group F-43m (No. 216)
Asymmetric unit:
Eu1 0.0000 0.0000 0.0000 (multiplicity 4)
Gd1 0.0000 0.0000 0.5000 (multiplicity 4)
Sn1 0.2500 0.2500 0.7500 (multiplicity 4)
Pb1 0.2500 0.2500 0.2500 (multiplicity 4)

Computed properties:
ΔH_f (0 K)	-2.12	eV per formula unit
calculated total energy	-8.546	eV/atom

***

Record 3
DFT (PBE) results for Ho4N3 after structural relaxation.

Lattice parameters (Å, degrees): 4.8775 4.8775 4.8775 90.00 90.00 90.00
Space group Pm-3m (No. 221)
Asymmetric unit:
Ho1 0.0000 0.0000 0.0000 (multiplicity 1)
Ho2 0.0000 0.5000 0.5000 (multiplicity 3)
N1 0.0000 0.0000 0.5000 (multiplicity 3)

Computed properties:
calculated total energy	-7.608	eV/atom
ΔE_f (raw)	-1.424	eV/atom

***

Record 4
DFT (PBE) results for NaAc2ThTe5 after structural relaxation.

Lattice parameters (Å, degrees): 4.6049 19.3129 14.1939 90.00 90.00 90.00
Space group Cmc2_1 (No. 36)
Asymmetric unit:
Na1 0.0000 0.0317 0.0000 (multiplicity 4)
Ac1 0.0000 0.3653 0.8363 (multiplicity 4)
Ac2 0.0000 0.3938 0.2269 (multiplicity 4)
Th1 0.0000 0.2988 0.5473 (multiplicity 4)
Te1 0.0000 0.0080 0.3063 (multiplicity 4)
Te2 0.0000 0.1355 0.5379 (multiplicity 4)
Te3 0.0000 0.1866 0.8897 (multiplicity 4)
Te4 0.0000 0.2190 0.2027 (multiplicity 4)
Te5 0.0000 0.4455 0.6167 (multiplicity 4)

Computed properties:
calculated total energy	-4.930	eV/atom
ΔE_f (raw)	-1.301	eV/atom

***

Record 5
DFT (PBE) results for K2BaMo after structural relaxation.

Lattice parameters (Å, degrees): 4.1675 6.9520 6.3306 90.00 94.20 90.00
Space group P2/m (No. 10)
Asymmetric unit:
K1 0.2252 0.0000 0.2737 (multiplicity 2)
Ba1 0.5000 0.5000 0.0000 (multiplicity 1)
Mo1 0.0000 0.5000 0.5000 (multiplicity 1)

Computed properties:
ΔH_f (0 K)	4.53	eV per formula unit
offset from the most stable computed form	0.151	eV per atom
calculated total energy	-2.604	eV/atom

***

Record 6
DFT (PBE) results for Pm5Sc4Sn4 after structural relaxation.

Lattice parameters (Å, degrees): 12.8719 12.8719 4.4615 90.00 90.00 90.00
Space group I4/m (No. 87)
Asymmetric unit:
Pm1 0.0000 0.0000 0.0000 (multiplicity 2)
Pm2 0.1253 0.7942 0.5000 (multiplicity 8)
Sc1 0.0843 0.4051 0.5000 (multiplicity 8)
Sn1 0.0678 0.2455 0.0000 (multiplicity 8)

Computed properties:
ΔH_f (0 K)	-7.22	eV per formula unit
calculated total energy	-5.562	eV/atom